Record 1
Here is Th2MgGa3Ir4 after structural relaxation from Alexandria. Energies are from GGA-PBE.

Lattice parameters (Å, degrees): 4.187 4.187 10.927 90.00 90.00 90.00
Positions (direct):
Th (0.000, 0.500, 0.763)
Th (0.500, 0.000, 0.237)
Ga (0.000, 0.500, 0.123)
Ga (0.500, 0.000, 0.877)
Ga (0.000, 0.000, 0.500)
Ir (0.500, 0.000, 0.650)
Ir (0.000, 0.000, 0.000)
Ir (0.000, 0.500, 0.350)
Ir (0.500, 0.500, 0.000)
Mg (0.500, 0.500, 0.500)

Values from the calculation:
N(E_F)   5.11 states/eV per cell
Space group   P-4m2
Total moment   0.00 μB per formula unit

---

Record 2
Here is ThMgGa2Ir2 after structural relaxation from Alexandria. Energies are from GGA-PBE.

Lattice parameters (Å, degrees): 4.380 4.380 6.793 90.00 90.00 120.00
Positions (direct):
Mg (0.000, 0.000, 0.500)
Ga (0.667, 0.333, 0.688)
Ga (0.333, 0.667, 0.312)
Th (0.000, 0.000, 0.000)
Ir (0.333, 0.667, 0.725)
Ir (0.667, 0.333, 0.275)

Values from the calculation:
N(E_F)   3.19 states/eV per cell
Space group   P-3m1
Total moment   0.00 μB per formula unit

---

Record 3
Here is Th2MgGa2Ir5 after structural relaxation from Alexandria. Energies are from GGA-PBE.

Lattice parameters (Å, degrees): 3.740 9.887 9.887 90.00 90.00 90.00
Positions (direct):
Ir (0.500, 0.069, 0.790)
Ir (0.500, 0.790, 0.931)
Ir (0.500, 0.710, 0.431)
Ir (0.500, 0.569, 0.710)
Ir (0.500, 0.931, 0.210)
Ir (0.500, 0.500, 0.000)
Ir (0.500, 0.210, 0.069)
Ir (0.500, 0.431, 0.290)
Ir (0.500, 0.290, 0.569)
Ir (0.500, 0.000, 0.500)
Ga (0.000, 0.121, 0.621)
Ga (0.000, 0.379, 0.121)
Ga (0.000, 0.621, 0.879)
Ga (0.000, 0.879, 0.379)
Mg (0.000, 0.500, 0.500)
Mg (0.000, 0.000, 0.000)
Th (0.000, 0.177, 0.323)
Th (0.000, 0.823, 0.677)
Th (0.000, 0.677, 0.177)
Th (0.000, 0.323, 0.823)

Values from the calculation:
N(E_F)   5.59 states/eV per cell
Space group   P4/mbm
Total moment   0.00 μB per formula unit

---

Record 4
Here is ThMg2Ga2Ir after structural relaxation from Alexandria. Energies are from GGA-PBE.

Lattice parameters (Å, degrees): 4.913 4.913 6.635 111.73 111.73 90.00
Positions (direct):
Mg (0.250, 0.750, 0.500)
Mg (0.750, 0.250, 0.500)
Ga (0.791, 0.791, 0.581)
Ga (0.209, 0.209, 0.419)
Ir (0.000, 0.000, 0.000)
Th (0.500, 0.500, 0.000)

Values from the calculation:
N(E_F)   3.19 states/eV per cell
Space group   I4/mmm
Total moment   0.00 μB per formula unit

---

Record 5
Here is TmMgGa2Ir2 after structural relaxation from Alexandria. Energies are from GGA-PBE.

Lattice parameters (Å, degrees): 4.367 4.367 6.403 90.00 90.00 120.00
Positions (direct):
Ir (0.333, 0.667, 0.714)
Ir (0.667, 0.333, 0.286)
Ga (0.667, 0.333, 0.715)
Ga (0.333, 0.667, 0.285)
Tm (0.000, 0.000, 0.000)
Mg (0.000, 0.000, 0.500)

Values from the calculation:
N(E_F)   1.64 states/eV per cell
Space group   P-3m1
Total moment   0.00 μB per formula unit

---

Record 6
Here is Tm2MgGa2Ir5 after structural relaxation from Alexandria. Energies are from GGA-PBE.

Lattice parameters (Å, degrees): 3.590 9.734 9.734 90.00 90.00 90.00
Positions (direct):
Ir (0.500, 0.795, 0.934)
Ir (0.500, 0.066, 0.795)
Ir (0.500, 0.705, 0.434)
Ir (0.500, 0.295, 0.566)
Ir (0.500, 0.500, 0.000)
Ir (0.500, 0.934, 0.205)
Ir (0.500, 0.434, 0.295)
Ir (0.500, 0.000, 0.500)
Ir (0.500, 0.205, 0.066)
Ir (0.500, 0.566, 0.705)
Mg (0.000, 0.500, 0.500)
Mg (0.000, 0.000, 0.000)
Tm (0.000, 0.826, 0.674)
Tm (0.000, 0.674, 0.174)
Tm (0.000, 0.174, 0.326)
Tm (0.000, 0.326, 0.826)
Ga (0.000, 0.126, 0.626)
Ga (0.000, 0.874, 0.374)
Ga (0.000, 0.626, 0.874)
Ga (0.000, 0.374, 0.126)

Values from the calculation:
N(E_F)   11.38 states/eV per cell
Space group   P4/mbm
Total moment   0.00 μB per formula unit

---

Record 7
Here is TmMgGaIr after structural relaxation from Alexandria. Energies are from GGA-PBE.

Lattice parameters (Å, degrees): 4.713 4.713 4.713 60.00 60.00 60.00
Positions (direct):
Ir (0.250, 0.250, 0.250)
Ga (0.750, 0.750, 0.750)
Tm (0.500, 0.500, 0.500)
Mg (0.000, 0.000, 0.000)

Values from the calculation:
N(E_F)   2.11 states/eV per cell
Space group   F-43m
Total moment   0.00 μB per formula unit

---

Record 8
Here is YMgGa2Ir2 after structural relaxation from Alexandria. Energies are from GGA-PBE.

Lattice parameters (Å, degrees): 4.372 4.372 6.534 90.00 90.00 120.00
Positions (direct):
Y (0.000, 0.000, 0.000)
Ga (0.333, 0.667, 0.290)
Ga (0.667, 0.333, 0.710)
Ir (0.667, 0.333, 0.294)
Ir (0.333, 0.667, 0.706)
Mg (0.000, 0.000, 0.500)

Values from the calculation:
N(E_F)   1.92 states/eV per cell
Space group   P-3m1
Total moment   0.00 μB per formula unit

---

Taking the records one at a time from the top gives calculated total energy values of -6.809; -6.153; -7.290; -4.087; -5.627; -6.697; -5.004; -5.963 eV per atom.